LiErB | the Open Quantum Materials Database | PBE-GGA | optimized geometry; total DFT energy (no corrections) = -3.832 eV/atom; symmetry = F-43m, No. 216; crystal system = cubic
1.0
0.000 2.863 2.863
2.863 0.000 2.863
2.863 2.863 0.000
Li Er B
1 1 1
direct
0.000 0.000 0.000 Li
0.250 0.250 0.250 Er
0.750 0.750 0.750 B

=====

PuThTc | the Open Quantum Materials Database | PBE-GGA | optimized geometry; symmetry = F-43m, No. 216; crystal system = cubic; energy relative to the elements = 0.5150 eV per atom
1.0
0.000 3.231 3.231
3.231 0.000 3.231
3.231 3.231 0.000
Pu Th Tc
1 1 1
direct
0.000 0.000 0.000 Pu
0.250 0.250 0.250 Th
0.750 0.750 0.750 Tc

=====

RbReAgS3 | the Open Quantum Materials Database | PBE-GGA | optimized geometry; total DFT energy (no corrections) = -4.989 eV/atom; symmetry = Cmcm, No. 63; crystal system = orthorhombic
1.0
1.855 -7.563 0.000
1.855 7.563 0.000
0.000 0.000 9.814
Rb Re Ag S
2 2 2 6
direct
0.246 0.754 0.750 Rb
0.754 0.246 0.250 Rb
0.500 0.500 0.000 Re
0.500 0.500 0.500 Re
0.054 0.946 0.250 Ag
0.946 0.054 0.750 Ag
0.109 0.891 0.019 S
0.109 0.891 0.481 S
0.440 0.560 0.250 S
0.560 0.440 0.750 S
0.891 0.109 0.519 S
0.891 0.109 0.981 S

=====

Zr2Nb4C3S3 | the Open Quantum Materials Database | PBE-GGA | optimized geometry; total DFT energy (no corrections) = -9.097 eV/atom; symmetry = C2/c, No. 15; crystal system = monoclinic
1.0
5.031 -2.907 0.000
5.031 2.907 0.000
-3.343 0.000 11.845
Zr Nb C S
4 8 6 6
direct
0.034 0.869 0.604 Zr
0.131 0.966 0.896 Zr
0.869 0.034 0.104 Zr
0.966 0.131 0.396 Zr
0.198 0.363 0.093 Nb
0.301 0.469 0.407 Nb
0.363 0.198 0.593 Nb
0.469 0.301 0.907 Nb
0.531 0.699 0.093 Nb
0.637 0.802 0.407 Nb
0.699 0.531 0.593 Nb
0.802 0.637 0.907 Nb
0.000 0.500 0.500 C
0.168 0.665 0.000 C
0.335 0.832 0.500 C
0.500 0.000 0.000 C
0.665 0.168 0.500 C
0.832 0.335 0.000 C
0.083 0.263 0.750 S
0.263 0.083 0.250 S
0.430 0.570 0.750 S
0.570 0.430 0.250 S
0.737 0.917 0.750 S
0.917 0.737 0.250 S

=====

KSmSe2O8 | the Open Quantum Materials Database | PBE-GGA | optimized geometry; total DFT energy (no corrections) = -5.875 eV/atom; symmetry = P-3m1, No. 164; crystal system = trigonal
1.0
5.696 0.000 0.000
-2.848 4.933 0.000
0.000 0.000 7.357
K Sm Se O
1 1 2 8
direct
0.000 0.000 0.000 K
0.000 0.000 0.500 Sm
0.333 0.667 0.782 Se
0.667 0.333 0.218 Se
0.176 0.352 0.699 O
0.176 0.824 0.699 O
0.333 0.667 0.005 O
0.352 0.176 0.301 O
0.648 0.824 0.699 O
0.667 0.333 0.995 O
0.824 0.176 0.301 O
0.824 0.648 0.301 O

=====

SbOs2 | the Open Quantum Materials Database | PBE-GGA | optimized geometry; total DFT energy (no corrections) = -7.932 eV/atom; symmetry = Fd-3m, No. 227; crystal system = cubic
1.0
0.000 3.765 3.765
3.765 0.000 3.765
3.765 3.765 0.000
Sb Os
2 4
direct
0.125 0.125 0.125 Sb
0.875 0.875 0.875 Sb
0.000 0.500 0.500 Os
0.500 0.000 0.500 Os
0.500 0.500 0.000 Os
0.500 0.500 0.500 Os

=====

Tm3Co2Ge4 | the Open Quantum Materials Database | PBE-GGA | optimized geometry; total DFT energy (no corrections) = -5.833 eV/atom; symmetry = C2/m, No. 12; crystal system = monoclinic
1.0
5.241 -2.067 0.000
5.241 2.067 0.000
-2.382 0.000 7.555
Tm Co Ge
3 2 4
direct
0.000 0.000 0.000 Tm
0.376 0.376 0.307 Tm
0.624 0.624 0.693 Tm
0.309 0.309 0.626 Co
0.691 0.691 0.374 Co
0.094 0.094 0.399 Ge
0.292 0.292 0.920 Ge
0.708 0.708 0.080 Ge
0.906 0.906 0.601 Ge

=====

ErTmPO | the Open Quantum Materials Database | PBE-GGA | optimized geometry; total DFT energy (no corrections) = -6.866 eV/atom; symmetry = Pmc2_1, No. 26; crystal system = orthorhombic
1.0
4.077 0.000 0.000
0.000 7.316 0.000
0.000 0.000 5.629
Er Tm P O
2 2 2 2
direct
0.000 0.124 0.000 Er
0.000 0.876 0.500 Er
0.500 0.292 0.444 Tm
0.500 0.708 0.944 Tm
0.500 0.343 0.936 P
0.500 0.657 0.436 P
0.000 0.174 0.390 O
0.000 0.826 0.890 O

=====

Y2AgSn | the Open Quantum Materials Database | PBE-GGA | optimized geometry; total DFT energy (no corrections) = -4.975 eV/atom; symmetry = F-43m, No. 216; crystal system = cubic
1.0
0.000 3.696 3.696
3.696 0.000 3.696
3.696 3.696 0.000
Y Ag Sn
2 1 1
direct
0.000 0.000 0.000 Y
0.250 0.250 0.250 Y
0.750 0.750 0.750 Ag
0.500 0.500 0.500 Sn

=====

AcMg2Hg | the Open Quantum Materials Database | PBE-GGA | optimized geometry; total DFT energy (no corrections) = -2.104 eV/atom; symmetry = P-1, No. 2; crystal system = triclinic
1.0
5.221 0.000 0.000
0.538 6.939 0.000
0.468 3.236 6.278
Ac Mg Hg
2 4 2
direct
0.239 0.384 0.333 Ac
0.761 0.616 0.667 Ac
0.223 0.857 0.804 Mg
0.288 0.236 0.910 Mg
0.712 0.764 0.090 Mg
0.777 0.143 0.196 Mg
0.270 0.870 0.344 Hg
0.730 0.130 0.656 Hg

=====

DySc2Ni9 | the Open Quantum Materials Database | PBE-GGA | optimized geometry; symmetry = R-3m, No. 166; crystal system = trigonal; energy relative to the elements = -0.4551 eV per atom
1.0
2.429 1.402 7.912
-2.429 1.402 7.912
0.000 -2.804 7.912
Dy Sc Ni
1 2 9
direct
0.000 0.000 0.000 Dy
0.141 0.141 0.141 Sc
0.859 0.859 0.859 Sc
0.082 0.586 0.586 Ni
0.333 0.333 0.333 Ni
0.414 0.414 0.918 Ni
0.414 0.918 0.414 Ni
0.500 0.500 0.500 Ni
0.586 0.082 0.586 Ni
0.586 0.586 0.082 Ni
0.667 0.667 0.667 Ni
0.918 0.414 0.414 Ni

=====

Dy2Hg2O5 | the Open Quantum Materials Database | PBE-GGA | optimized geometry; total DFT energy (no corrections) = -5.031 eV/atom; symmetry = P4/mmm, No. 123; crystal system = tetragonal
1.0
4.290 0.000 0.000
0.000 4.290 0.000
0.000 0.000 7.182
Dy Hg O
2 2 5
direct
0.000 0.000 0.000 Dy
0.000 0.000 0.500 Dy
0.500 0.500 0.193 Hg
0.500 0.500 0.807 Hg
0.000 0.500 0.211 O
0.000 0.500 0.789 O
0.500 0.000 0.211 O
0.500 0.000 0.789 O
0.500 0.500 0.500 O